Record 1
First-principles (PBE) data for LiBeOs3 after structural relaxation, as listed in Alexandria.

## Properties
VASP energy   -6.2804 eV per atom
E above lowest polymorph   3.278 eV per formula unit
Spin magnetization   0.000 μB per formula unit
Formation energy   1.59 eV/atom

Cell lengths 4.0597, 4.0597, 4.0597 Å; angles 90.00, 90.00, 90.00 degrees
Atoms (fractional coordinates):
Os 0.0000 0.0000 0.5000
Os 0.0000 0.5000 0.0000
Li 0.0000 0.0000 0.0000
Os 0.5000 0.0000 0.0000
Be 0.5000 0.5000 0.5000

Record 2
First-principles (PBE) data for LiBe2Os after structural relaxation, as listed in Alexandria.

## Properties
VASP energy   -5.2694 eV per atom
Spin magnetization   0.000 μB per formula unit
Formation energy   -0.12 eV/atom

Cell lengths 3.8587, 3.8587, 2.8175 Å; angles 90.00, 90.00, 90.00 degrees
Atoms (fractional coordinates):
Os 0.0000 0.5000 0.5000
Be 0.0000 0.0000 0.0000
Be 0.5000 0.5000 0.0000
Li 0.5000 0.0000 0.5000

Record 3
First-principles (PBE) data for LiBe2Os after structural relaxation, as listed in Alexandria.

## Properties
VASP energy   -5.1465 eV per atom
Spin magnetization   0.000 μB per formula unit
Formation energy   0.00 eV/atom

Cell lengths 4.5080, 4.5080, 4.1550 Å; angles 72.57, 72.57, 32.78 degrees
Atoms (fractional coordinates):
Li 0.4845 0.4845 0.5521
Be 0.0165 0.0165 0.0432
Be 0.7323 0.7323 0.7127
Os 0.2667 0.2667 0.1920